Compound: K2LiCo3F12
Source: Alexandria via LeMat-Bulk
Functional: GGA+U
Structure: relaxed

Calculated values
electronic total energy	-4.52	eV/atom

Cell lengths 7.0178, 7.0178, 7.0178 Å; angles 60.60, 60.60, 60.60 degrees
Sites, in units of the cell vectors:
Li  0.0000  0.0000  0.0000
F  0.9187  0.9187  0.3467
F  0.3467  0.9187  0.9187
F  0.3172  0.3172  0.9192
F  0.9192  0.3172  0.3172
F  0.6828  0.6828  0.0808
F  0.3172  0.9192  0.3172
F  0.0813  0.0813  0.6533
F  0.6828  0.0808  0.6828
F  0.9187  0.3467  0.9187
F  0.0813  0.6533  0.0813
F  0.0808  0.6828  0.6828
F  0.6533  0.0813  0.0813
Co  0.0000  0.5000  0.0000
Co  0.5000  0.0000  0.0000
Co  0.0000  0.0000  0.5000
K  0.3668  0.3668  0.3668
K  0.6332  0.6332  0.6332